The following is a GGA-PBE calculation of a relaxed structure of Li4Ca3Zn4, from Alexandria.

Computed properties:
- Symmetry: I-43m (217)
- ΔH_f (0 K): -86 meV/atom
- E_tot: -1.7913 eV per atom

a = 6.847 Å, b = 6.847 Å, c = 6.847 Å
α = 109.47°, β = 109.47°, γ = 109.47°
Sites, in units of the cell vectors:
Li 0.000 0.000 0.754
Li 0.000 0.754 0.000
Li 0.246 0.246 0.246
Li 0.754 0.000 0.000
Ca 0.000 0.500 0.500
Ca 0.500 0.000 0.500
Ca 0.500 0.500 0.000
Zn 0.000 0.000 0.394
Zn 0.000 0.394 0.000
Zn 0.394 0.000 0.000
Zn 0.606 0.606 0.606


The following is a GGA-PBE calculation of a relaxed structure of Tb2PmNd, from Alexandria.

Computed properties:
- Symmetry: Fm-3m (225)
- ΔH_f (0 K): 127 meV/atom
- E_tot: -4.5673 eV per atom

a = 5.745 Å, b = 5.745 Å, c = 5.745 Å
α = 60.00°, β = 60.00°, γ = 60.00°
Sites, in units of the cell vectors:
Tb 0.250 0.250 0.250
Tb 0.750 0.750 0.750
Pm 0.000 0.000 0.000
Nd 0.500 0.500 0.500


The following is a GGA-PBE calculation of a relaxed structure of Pm4SmZn4, from Alexandria.

Computed properties:
- Symmetry: I4/m (87)
- ΔH_f (0 K): -143 meV/atom
- E_tot: -3.3453 eV per atom

a = 7.351 Å, b = 7.351 Å, c = 7.351 Å
α = 97.05°, β = 97.05°, γ = 139.00°
Sites, in units of the cell vectors:
Pm 0.113 0.656 0.768
Pm 0.344 0.113 0.457
Pm 0.656 0.887 0.543
Pm 0.887 0.344 0.232
Sm 0.000 0.000 0.000
Zn 0.324 0.426 0.750
Zn 0.426 0.676 0.102
Zn 0.574 0.324 0.898
Zn 0.676 0.574 0.250


The following is a GGA-PBE calculation of a relaxed structure of FeCo2Se, from Alexandria.

Computed properties:
- Symmetry: Pm (6)
- E_tot: -6.3058 eV per atom
- E_form (uncorrected): 0.9 eV per formula unit

a = 2.763 Å, b = 3.769 Å, c = 5.047 Å
α = 90.00°, β = 105.80°, γ = 90.00°
Sites, in units of the cell vectors:
Fe 0.000 0.000 0.000
Co 0.372 0.500 0.734
Co 0.759 0.000 0.508
Se 0.610 0.500 0.223


The following is a GGA-PBE calculation of a relaxed structure of Pm8TlC4, from Alexandria.

Computed properties:
- Symmetry: F-43m (216)
- ΔH_f (0 K): -6 meV/atom
- E_tot: -5.9493 eV per atom

a = 7.893 Å, b = 7.893 Å, c = 7.893 Å
α = 60.00°, β = 60.00°, γ = 60.00°
Sites, in units of the cell vectors:
Pm 0.085 0.638 0.638
Pm 0.102 0.102 0.102
Pm 0.102 0.102 0.693
Pm 0.102 0.693 0.102
Pm 0.638 0.085 0.638
Pm 0.638 0.638 0.085
Pm 0.638 0.638 0.638
Pm 0.693 0.102 0.102
Tl 0.250 0.250 0.250
C 0.394 0.869 0.869
C 0.869 0.394 0.869
C 0.869 0.869 0.394
C 0.869 0.869 0.869


The following is a GGA-PBE calculation of a relaxed structure of CoPSe2, from Alexandria.

Computed properties:
- Symmetry: Immm (71)
- E_tot: -4.8058 eV per atom
- E_form (uncorrected): 0.3 eV per formula unit

a = 6.684 Å, b = 6.684 Å, c = 6.684 Å
α = 150.56°, β = 148.71°, γ = 43.50°
Sites, in units of the cell vectors:
Co 0.000 0.000 0.000
P 0.500 0.500 0.000
Se 0.143 0.643 0.500
Se 0.857 0.357 0.500


The following is a GGA-PBE calculation of a relaxed structure of LaRuC2, from Alexandria.

Computed properties:
- Symmetry: P4_1 (76)
- ΔH_f (0 K): -153 meV/atom
- E_tot: -8.3158 eV per atom

a = 3.980 Å, b = 3.980 Å, c = 15.314 Å
α = 90.00°, β = 90.00°, γ = 90.00°
Sites, in units of the cell vectors:
La 0.147 0.150 0.000
La 0.150 0.853 0.750
La 0.850 0.147 0.250
La 0.853 0.850 0.500
Ru 0.351 0.354 0.600
Ru 0.354 0.649 0.350
Ru 0.646 0.351 0.850
Ru 0.649 0.646 0.100
C 0.142 0.646 0.143
C 0.341 0.343 0.467
C 0.343 0.659 0.217
C 0.354 0.142 0.393
C 0.646 0.858 0.893
C 0.657 0.341 0.717
C 0.659 0.657 0.967
C 0.858 0.354 0.643


The following is a GGA-PBE calculation of a relaxed structure of LiAgPd, from Alexandria.

Computed properties:
- Symmetry: Cm (8)
- ΔH_f (0 K): -253 meV/atom
- E_tot: -3.5728 eV per atom

a = 5.055 Å, b = 5.055 Å, c = 5.438 Å
α = 117.05°, β = 117.05°, γ = 49.61°
Sites, in units of the cell vectors:
Li 0.000 0.000 0.000
Li 0.679 0.679 0.802
Ag 0.016 0.016 0.509
Ag 0.320 0.320 0.141
Pd 0.361 0.361 0.677
Pd 0.664 0.664 0.299